No. 1
Hg2BiCl | PBE-GGA | relaxed

N(E_F): 6.193 states/eV/cell
energy relative to the lowest polymorph listed for this composition: 0.171 eV/atom
formation energy from raw total energies: 0.0072 eV/atom
electronic total energy: -1.576 eV per atom

```
Hg2BiCl
1.0
7.531 0.000 0.000
0.000 7.531 0.000
0.000 0.000 7.531
Hg Bi Cl
8 4 4
direct
0.250 0.250 0.250
0.250 0.250 0.750
0.250 0.750 0.250
0.250 0.750 0.750
0.750 0.250 0.250
0.750 0.250 0.750
0.750 0.750 0.250
0.750 0.750 0.750
0.000 0.000 0.000
0.000 0.500 0.500
0.500 0.000 0.500
0.500 0.500 0.000
0.000 0.000 0.500
0.000 0.500 0.000
0.500 0.000 0.000
0.500 0.500 0.500
```


No. 2
MnCrFe3 | PBE-GGA | relaxed

N(E_F): 6.984 states/eV/cell
energy relative to the lowest polymorph listed for this composition: 1.020 eV/atom
electronic total energy: -7.715 eV per atom

```
MnCrFe3
1.0
4.180 0.000 0.000
0.000 4.180 0.000
0.000 0.000 4.180
Mn Cr Fe
1 1 3
direct
0.000 0.000 0.000
0.500 0.500 0.500
0.000 0.500 0.500
0.500 0.000 0.500
0.500 0.500 0.000
```